The following is a PBE-GGA calculation of HfMgTeN2 after structural relaxation, from Alexandria.

abc: 4.130 4.130 6.034
angles: 90.00 90.00 90.00
Space group P4/mmm (No. 123)
Inequivalent atoms, fractional coordinates:
Hf  0.000  0.000  0.000 x1
Mg  0.500  0.500  0.500 x1
Te  0.000  0.000  0.500 x1
N  0.000  0.500  0.000 x2

Computed properties:
Polymorph energy (0 for the lowest one) in eV per atom: 0.000
Total energy in eV for the cell shown: -31.37
E_form (uncorrected) in eV per atom: -0.007

***

The following is a PBE-GGA calculation of HfMgTe2N after structural relaxation, from Alexandria.

abc: 5.754 5.754 3.992
angles: 90.00 90.00 90.00
Space group P4/mmm (No. 123)
Inequivalent atoms, fractional coordinates:
Hf  0.000  0.000  0.000 x1
Mg  0.500  0.500  0.500 x1
Te  0.000  0.500  0.000 x2
N  0.000  0.000  0.500 x1

Computed properties:
Polymorph energy (0 for the lowest one) in eV per atom: 0.000
Total energy in eV for the cell shown: -27.10
E_form (uncorrected) in eV per atom: -0.188

***

The following is a PBE-GGA calculation of HfMgTe2N after structural relaxation, from Alexandria.

abc: 5.463 5.463 3.851
angles: 90.00 90.00 90.00
Space group P4/mmm (No. 123)
Inequivalent atoms, fractional coordinates:
Hf  0.000  0.000  0.000 x1
Mg  0.500  0.500  0.500 x1
Te  0.000  0.500  0.500 x2
N  0.500  0.500  0.000 x1

Computed properties:
Polymorph energy (0 for the lowest one) in eV per atom: 0.713
Total energy in eV for the cell shown: -23.53
E_form (uncorrected) in eV per atom: 0.525

***

The following is a PBE-GGA calculation of HfMg3Ti2N6 after structural relaxation, from Alexandria.

abc: 5.345 9.263 5.365
angles: 90.00 109.35 90.00
Space group C2/m (No. 12)
Inequivalent atoms, fractional coordinates:
Hf  0.000  0.000  0.000 x2
Mg  0.000  0.169  0.500 x4
Mg  0.000  0.500  0.500 x2
Ti  0.000  0.333  0.000 x4
N  0.236  0.500  0.233 x4
N  0.248  0.171  0.231 x8

Computed properties:
Total energy in eV for the cell shown: -193.48
E_form (uncorrected) in eV per atom: -1.355

***

The following is a PBE-GGA calculation of Hf2MgTiN after structural relaxation, from Alexandria.

abc: 4.479 4.479 4.185
angles: 90.00 90.00 90.00
Space group P4/mmm (No. 123)
Inequivalent atoms, fractional coordinates:
Hf  0.000  0.500  0.000 x2
Mg  0.000  0.000  0.500 x1
Ti  0.500  0.500  0.500 x1
N  0.500  0.500  0.000 x1

Computed properties:
Total energy in eV for the cell shown: -41.13
E_form (uncorrected) in eV per atom: -0.681

***

The following is a PBE-GGA calculation of HfMgTl2N after structural relaxation, from Alexandria.

abc: 5.083 5.083 5.412
angles: 90.00 90.00 90.00
Space group P4/mmm (No. 123)
Inequivalent atoms, fractional coordinates:
Hf  0.000  0.000  0.000 x1
Mg  0.000  0.000  0.500 x1
Tl  0.000  0.500  0.500 x2
N  0.500  0.500  0.000 x1

Computed properties:
Total energy in eV for the cell shown: -15.13
E_form (uncorrected) in eV per atom: 1.896

***

The following is a PBE-GGA calculation of Tm2Hf3MgN6 after structural relaxation, from Alexandria.

abc: 14.241 3.251 6.541
angles: 90.00 103.93 90.00
Space group C2/m (No. 12)
Inequivalent atoms, fractional coordinates:
Tm  0.165  0.000  0.329 x4
Hf  0.000  0.500  0.500 x2
Hf  0.164  0.000  0.834 x4
Mg  0.000  0.500  0.000 x2
N  0.004  0.000  0.745 x4
N  0.162  0.500  0.593 x4
N  0.168  0.500  0.071 x4

Computed properties:
Total energy in eV for the cell shown: -221.80
E_form (uncorrected) in eV per atom: -1.712

***

The following is a PBE-GGA calculation of TmHf2Mg3N6 after structural relaxation, from Alexandria.

abc: 5.623 9.742 5.489
angles: 90.00 110.02 90.00
Space group C2/m (No. 12)
Inequivalent atoms, fractional coordinates:
Tm  0.000  0.000  0.000 x2
Hf  0.000  0.333  0.000 x4
Mg  0.000  0.168  0.500 x4
Mg  0.000  0.500  0.500 x2
N  0.233  0.500  0.243 x4
N  0.247  0.326  0.761 x8

Computed properties:
Total energy in eV for the cell shown: -189.42
E_form (uncorrected) in eV per atom: -1.300

***

The following is a PBE-GGA calculation of TmHf2MgN4 after structural relaxation, from Alexandria.

abc: 5.583 3.237 5.650
angles: 90.00 109.29 90.00
Space group P2/m (No. 10)
Inequivalent atoms, fractional coordinates:
Tm  0.000  0.000  0.000 x1
Hf  0.000  0.500  0.500 x1
Hf  0.500  0.000  0.500 x1
Mg  0.500  0.500  0.000 x1
N  0.247  0.000  0.734 x2
N  0.258  0.500  0.265 x2

Computed properties:
Total energy in eV for the cell shown: -72.45
E_form (uncorrected) in eV per atom: -1.647

***

The following is a PBE-GGA calculation of Hf2Mg3UN6 after structural relaxation, from Alexandria.

abc: 14.029 3.238 6.435
angles: 90.00 101.80 90.00
Space group C2/m (No. 12)
Inequivalent atoms, fractional coordinates:
Hf  0.169  0.000  0.344 x4
Mg  0.000  0.500  0.500 x2
Mg  0.171  0.000  0.834 x4
U  0.000  0.500  0.000 x2
N  0.005  0.000  0.256 x4
N  0.165  0.500  0.095 x4
N  0.171  0.500  0.580 x4

Computed properties:
Total energy in eV for the cell shown: -203.34
E_form (uncorrected) in eV per atom: -1.312

***

The following is a PBE-GGA calculation of Y2HfMgN after structural relaxation, from Alexandria.

abc: 4.938 4.938 4.391
angles: 90.00 90.00 90.00
Space group P4/mmm (No. 123)
Inequivalent atoms, fractional coordinates:
Y  0.000  0.500  0.000 x2
Hf  0.000  0.000  0.500 x1
Mg  0.500  0.500  0.500 x1
N  0.000  0.000  0.000 x1

Computed properties:
Total energy in eV for the cell shown: -36.18
E_form (uncorrected) in eV per atom: -0.675

***

The following is a PBE-GGA calculation of YHf2MgN after structural relaxation, from Alexandria.

abc: 4.477 4.477 4.855
angles: 90.00 90.00 90.00
Space group P4/mmm (No. 123)
Inequivalent atoms, fractional coordinates:
Y  0.000  0.000  0.000 x1
Hf  0.000  0.500  0.500 x2
Mg  0.500  0.500  0.000 x1
N  0.000  0.000  0.500 x1

Computed properties:
Total energy in eV for the cell shown: -39.53
E_form (uncorrected) in eV per atom: -0.648

***

The following is a PBE-GGA calculation of Hf2MgZnN after structural relaxation, from Alexandria.

abc: 4.388 4.388 4.235
angles: 90.00 90.00 90.00
Space group P4/mmm (No. 123)
Inequivalent atoms, fractional coordinates:
Hf  0.000  0.500  0.000 x2
Mg  0.000  0.000  0.500 x1
Zn  0.500  0.500  0.500 x1
N  0.000  0.000  0.000 x1

Computed properties:
Total energy in eV for the cell shown: -34.20
E_form (uncorrected) in eV per atom: -0.619

***

The following is a PBE-GGA calculation of HfMg2ZrN4 after structural relaxation, from Alexandria.

abc: 5.480 3.216 5.571
angles: 90.00 109.81 90.00
Space group P2/m (No. 10)
Inequivalent atoms, fractional coordinates:
Hf  0.000  0.000  0.000 x1
Mg  0.500  0.000  0.500 x1
Mg  0.500  0.500  0.000 x1
Zr  0.000  0.500  0.500 x1
N  0.237  0.500  0.243 x2
N  0.238  0.000  0.749 x2

Computed properties:
Total energy in eV for the cell shown: -66.16
E_form (uncorrected) in eV per atom: -1.396

***

The following is a PBE-GGA calculation of HfMgZrN3 after structural relaxation, from Alexandria.

abc: 5.459 3.147 8.175
angles: 90.00 101.64 90.00
Space group P2_1/m (No. 11)
Inequivalent atoms, fractional coordinates:
Hf  0.233  0.250  0.448 x2
Mg  0.136  0.750  0.127 x2
Zr  0.348  0.750  0.809 x2
N  0.047  0.250  0.662 x2
N  0.266  0.250  0.997 x2
N  0.448  0.750  0.336 x2

Computed properties:
Total energy in eV for the cell shown: -106.62
E_form (uncorrected) in eV per atom: -1.373

***

The following is a PBE-GGA calculation of HfMgZr2N4 after structural relaxation, from Alexandria.

abc: 5.552 3.216 5.589
angles: 90.00 109.29 90.00
Space group P2/m (No. 10)
Inequivalent atoms, fractional coordinates:
Hf  0.000  0.000  0.000 x1
Mg  0.500  0.500  0.000 x1
Zr  0.000  0.500  0.500 x1
Zr  0.500  0.000  0.500 x1
N  0.245  0.500  0.240 x2
N  0.247  0.000  0.754 x2

Computed properties:
Total energy in eV for the cell shown: -74.42
E_form (uncorrected) in eV per atom: -1.559

***

The following is a PBE-GGA calculation of Hf2MgZrN after structural relaxation, from Alexandria.

abc: 4.440 4.440 4.600
angles: 90.00 90.00 90.00
Space group P4/mmm (No. 123)
Inequivalent atoms, fractional coordinates:
Hf  0.000  0.500  0.000 x2
Mg  0.000  0.000  0.500 x1
Zr  0.500  0.500  0.500 x1
N  0.500  0.500  0.000 x1

Computed properties:
Total energy in eV for the cell shown: -41.81
E_form (uncorrected) in eV per atom: -0.688

***

The following is a PBE-GGA calculation of Hf2Mg3ZrN6 after structural relaxation, from Alexandria.

abc: 5.558 9.628 5.474
angles: 90.00 109.79 90.00
Space group C2/m (No. 12)
Inequivalent atoms, fractional coordinates:
Hf  0.000  0.167  0.000 x4
Mg  0.000  0.000  0.500 x2
Mg  0.000  0.333  0.500 x4
Zr  0.000  0.500  0.000 x2
N  0.242  0.000  0.238 x4
N  0.247  0.332  0.237 x8

Computed properties:
Total energy in eV for the cell shown: -200.47
E_form (uncorrected) in eV per atom: -1.420

***

The following is a PBE-GGA calculation of HfMg2Zr3N6 after structural relaxation, from Alexandria.

abc: 5.560 9.638 5.561
angles: 90.00 109.37 90.00
Space group C2/m (No. 12)
Inequivalent atoms, fractional coordinates:
Hf  0.000  0.000  0.000 x2
Mg  0.000  0.334  0.000 x4
Zr  0.000  0.169  0.500 x4
Zr  0.000  0.500  0.500 x2
N  0.245  0.000  0.751 x4
N  0.247  0.165  0.246 x8

Computed properties:
Total energy in eV for the cell shown: -213.19
E_form (uncorrected) in eV per atom: -1.488

***

The following is a PBE-GGA calculation of Na2HfMg after structural relaxation, from Alexandria.

abc: 8.459 8.459 6.123
angles: 90.00 90.00 90.00
Space group I-42d (No. 122)
Inequivalent atoms, fractional coordinates:
Na  0.229  0.250  0.125 x8
Hf  0.000  0.000  0.500 x4
Mg  0.000  0.000  0.000 x4

Computed properties:
Total energy in eV for the cell shown: -41.96
DFT formation energy in kJ per mole of atoms: 89.17

***

The following is a PBE-GGA calculation of NaHf3Mg after structural relaxation, from Alexandria.

abc: 5.157 5.157 5.157
angles: 90.00 90.00 90.00
Space group Pm-3m (No. 221)
Inequivalent atoms, fractional coordinates:
Na  0.000  0.000  0.000 x1
Hf  0.000  0.500  0.500 x3
Mg  0.500  0.500  0.500 x1

Computed properties:
Polymorph energy (0 for the lowest one) in eV per atom: 0.000
Total energy in eV for the cell shown: -25.87
DFT formation energy in kJ per mole of atoms: 133.26

***

The following is a PBE-GGA calculation of NaHf3Mg after structural relaxation, from Alexandria.

abc: 5.003 5.003 5.003
angles: 90.00 90.00 90.00
Space group Pm-3m (No. 221)
Inequivalent atoms, fractional coordinates:
Na  0.000  0.000  0.000 x1
Hf  0.000  0.000  0.500 x3
Mg  0.500  0.500  0.500 x1

Computed properties:
Polymorph energy (0 for the lowest one) in eV per atom: 0.111
Total energy in eV for the cell shown: -25.31
DFT formation energy in kJ per mole of atoms: 143.98

***

The following is a PBE-GGA calculation of NaHfMg6O7 after structural relaxation, from Alexandria.

abc: 4.387 4.387 8.955
angles: 90.00 90.00 90.00
Space group P4mm (No. 99)
Inequivalent atoms, fractional coordinates:
Na  0.000  0.000  0.000 x1
Hf  0.000  0.000  0.503 x1
Mg  0.000  0.500  0.227 x2
Mg  0.000  0.500  0.769 x2
Mg  0.500  0.500  0.516 x1
Mg  0.500  0.500  0.993 x1
O  0.000  0.000  0.271 x1
O  0.000  0.000  0.736 x1
O  0.000  0.500  0.519 x2
O  0.000  0.500  0.998 x2
O  0.500  0.500  0.755 x1

Computed properties:
Polymorph energy (0 for the lowest one) in eV per atom: 0.044
Total energy in eV for the cell shown: -89.34
E_form (uncorrected) in eV per atom: -2.253

***

The following is a PBE-GGA calculation of Na3HfMg2O6 after structural relaxation, from Alexandria.

abc: 5.445 9.431 5.753
angles: 90.00 108.32 90.00
Space group C2/m (No. 12)
Inequivalent atoms, fractional coordinates:
Na  0.000  0.000  0.000 x2
Na  0.000  0.328  0.000 x4
Hf  0.000  0.500  0.500 x2
Mg  0.000  0.167  0.500 x4
O  0.231  0.337  0.705 x8
O  0.242  0.000  0.705 x4

Computed properties:
Total energy in eV for the cell shown: -149.58
E_form (uncorrected) in eV per atom: -2.328